# 1
Here is a relaxed structure of RbRe2NiOs from Alexandria. Energies are from PBE-GGA.

Summary:
ΔH_f (0 K)	2713	meV per atom

abc: 4.527 5.017 4.527
angles: 90.00 90.00 90.00
Each line ends with the local moment (μB).
Fractional positions:
Os  0.500  0.500  0.500  1.74
Ni  0.000  0.000  0.000  0.07
Rb  0.000  0.500  0.000  0.03
Re  0.000  0.000  0.500  0.49
Re  0.500  0.000  0.000  0.47

# 2
Here is a relaxed structure of RbTcNi2Os from Alexandria. Energies are from PBE-GGA.

Summary:
ΔH_f (0 K)	2228	meV per atom

abc: 4.622 5.351 4.622
angles: 90.00 90.00 90.00
Each line ends with the local moment (μB).
Fractional positions:
Rb  0.000  0.500  0.000  0.02
Os  0.000  0.000  0.000  0.20
Tc  0.500  0.500  0.500  3.39
Ni  0.000  0.000  0.500  0.10
Ni  0.500  0.000  0.000  0.15

# 3
Here is a relaxed structure of ReNi4Os from Alexandria. Energies are from PBE-GGA.

Summary:
ΔH_f (0 K)	93	meV per atom

abc: 4.647 4.647 4.647
angles: 60.00 60.00 60.00
Each line ends with the local moment (μB).
Fractional positions:
Os  0.750  0.750  0.750  0.15
Ni  0.875  0.375  0.375  0.40
Ni  0.375  0.875  0.375  0.40
Ni  0.375  0.375  0.875  0.40
Ni  0.375  0.375  0.375  0.40
Re  0.000  0.000  0.000  0.03

# 4
Here is a relaxed structure of ReNiOs4 from Alexandria. Energies are from PBE-GGA.

Summary:
ΔH_f (0 K)	783	meV per atom

abc: 5.066 5.066 5.066
angles: 60.00 60.00 60.00
Fractional positions:
Os  0.876  0.375  0.375
Os  0.375  0.375  0.375
Os  0.375  0.375  0.876
Os  0.375  0.876  0.375
Re  0.750  0.750  0.750
Ni  0.000  0.000  0.000

# 5
Here is a relaxed structure of ReNiOs3 from Alexandria. Energies are from PBE-GGA.

Summary:
excess energy over the best structure of this formula in the dataset	0.000	eV per atom
ΔH_f (0 K)	2003	meV per atom

abc: 4.334 4.334 4.334
angles: 90.00 90.00 90.00
Each line ends with the local moment (μB).
Fractional positions:
Os  0.000  0.000  0.500  0.26
Os  0.500  0.000  0.000  0.14
Os  0.000  0.500  0.000  0.19
Ni  0.000  0.000  0.000  0.39
Re  0.500  0.500  0.500  -0.70

# 6
Here is a relaxed structure of ReNi3Os from Alexandria. Energies are from PBE-GGA.

Summary:
excess energy over the best structure of this formula in the dataset	0.000	eV per atom
ΔH_f (0 K)	1939	meV per atom

abc: 4.408 4.408 4.408
angles: 90.00 90.00 90.00
Each line ends with the local moment (μB).
Fractional positions:
Re  0.500  0.500  0.500  2.50
Ni  0.000  0.500  0.000  -0.06
Ni  0.000  0.000  0.500  -0.30
Ni  0.500  0.000  0.000  0.13
Os  0.000  0.000  0.000  -0.06

# 7
Here is a relaxed structure of ReNiOs3 from Alexandria. Energies are from PBE-GGA.

Summary:
excess energy over the best structure of this formula in the dataset	0.475	eV per atom
ΔH_f (0 K)	2478	meV per atom

abc: 4.689 4.689 4.689
angles: 90.00 90.00 90.00
Each line ends with the local moment (μB).
Fractional positions:
Ni  0.500  0.500  0.500  0.92
Os  0.000  0.500  0.000  0.71
Os  0.000  0.000  0.500  0.65
Os  0.500  0.000  0.000  0.67
Re  0.000  0.000  0.000  -0.09

# 8
Here is a relaxed structure of ReNi2OsRh from Alexandria. Energies are from PBE-GGA.

Summary:
ΔH_f (0 K)	1941	meV per atom

abc: 4.410 4.626 4.410
angles: 90.00 90.00 90.00
Each line ends with the local moment (μB).
Fractional positions:
Os  0.500  0.500  0.500  1.99
Re  0.000  0.000  0.000  0.05
Ni  0.500  0.000  0.000  0.09
Ni  0.000  0.000  0.500  -0.06
Rh  0.000  0.500  0.000  0.13

Density across the listed records, respectively: 11.4 7.1 14.3 18.2 16.6 10.7 13.1 11.0 g/cm3.